Sr2NbTcRu, relaxed, DFT PBE; M_tot = 2.4 μB/f.u.; space group = P4/mmm (123); E_tot = -5.323 eV per atom; density of states at the Fermi level = 5.2 states/eV/cell; ΔE_f = 1.292 eV per atom
1.0
-2.051 -0.064 5.315
-3.819 -2.160 -1.499
2.497 -5.041 0.903
Ru Nb Tc Sr
1 1 1 2
direct
0.000 0.000 0.000
0.500 0.500 0.500
0.000 0.500 0.000
0.000 0.000 0.500
0.500 0.000 0.000